No. 1
A geometry-optimized HfTe2WN structure, computed with PBE-GGA.

extended XYZ file:
```
5
Lattice="5.4567 0.0000 0.0000 0.0000 5.4567 0.0000 0.0000 0.0000 3.7799" Properties=species:S:1:pos:R:3 pbc="T T T"
Hf 0.0000 0.0000 0.0000
Te 0.0000 2.7283 1.8900
Te 2.7283 0.0000 1.8900
W 2.7283 2.7283 1.8900
N 2.7283 2.7283 0.0000
```

Calculated values
DOS at the Fermi energy = 3.25 states/eV/f.u.
Formation energy (no corrections) = 1.71 eV per formula unit



No. 2
A geometry-optimized Dy2ZnCl structure, computed with PBE-GGA.

extended XYZ file:
```
4
Lattice="1.7064 0.9852 10.4785 -1.7064 0.9852 10.4785 0.0000 -1.9704 10.4785" Properties=species:S:1:pos:R:3 pbc="T T T"
Dy 0.0000 0.0000 3.0112
Dy 0.0000 0.0000 28.4242
Zn 0.0000 0.0000 0.0000
Cl 0.0000 0.0000 15.7177
```

Calculated values
DOS at the Fermi energy = 4.53 states/eV/f.u.
Formation energy (no corrections) = -1.29 eV per formula unit



No. 3
A geometry-optimized NpUTeS2 structure, computed with PBE-GGA.

extended XYZ file:
```
10
Lattice="8.2323 0.0000 0.0000 0.0000 4.0442 0.0000 -3.5703 0.0000 7.8765" Properties=species:S:1:pos:R:3 pbc="T T T"
Np 0.8991 1.0110 1.5012
Np 3.7628 3.0331 6.3753
U -0.9046 3.0331 5.7054
U 5.5666 1.0110 2.1711
Te 3.1857 3.0331 1.2342
Te 1.4762 1.0110 6.6423
S -2.6136 1.0110 6.6745
S -0.3998 1.0110 3.8724
S 5.0617 3.0331 4.0041
S 7.2756 3.0331 1.2020
```

Calculated values
DOS at the Fermi energy = 14.86 states/eV/f.u.
Formation energy (no corrections) = -5.62 eV per formula unit



No. 4
A geometry-optimized Cr2SeI3 structure, computed with PBE-GGA.

extended XYZ file:
```
12
Lattice="7.8442 0.0000 0.0000 -3.9221 6.7933 0.0000 0.0000 0.0000 7.3167" Properties=species:S:1:pos:R:3 pbc="T T T"
Cr 0.0000 0.0000 0.0000
Cr -1.9611 3.3966 0.0000
Cr 3.9221 0.0000 0.0000
Cr 1.9611 3.3966 0.0000
Se 0.0000 4.5289 6.1102
Se 3.9221 2.2644 1.2065
I 0.0000 2.2527 1.6742
I -1.9712 5.6669 1.6742
I 1.9509 1.1263 5.6425
I 1.9712 5.6669 1.6742
I 5.8933 1.1263 5.6425
I 3.9221 4.5406 5.6425
```

Calculated values
DOS at the Fermi energy = 4.12 states/eV/f.u.
Formation energy (no corrections) = -1.96 eV per formula unit



No. 5
A geometry-optimized MgCd2Hg2 structure, computed with PBE-GGA.

extended XYZ file:
```
10
Lattice="7.8180 0.0000 0.0000 0.0000 7.8180 0.0000 0.0000 0.0000 3.9782" Properties=species:S:1:pos:R:3 pbc="T T T"
Mg 0.0000 0.0000 0.0000
Mg 3.9090 3.9090 0.0000
Cd 1.1728 2.7362 1.9891
Cd 2.7362 6.6452 1.9891
Cd 5.0818 1.1728 1.9891
Cd 6.6452 5.0818 1.9891
Hg 1.1831 5.0921 0.0000
Hg 2.7259 1.1831 0.0000
Hg 5.0921 6.6349 0.0000
Hg 6.6349 2.7259 0.0000
```

Calculated values
DOS at the Fermi energy = 1.83 states/eV/f.u.
Final energy = -8.09 eV for the cell shown



No. 6
A geometry-optimized Mg2RuN3 structure, computed with PBE-GGA.

extended XYZ file:
```
12
Lattice="5.0977 -2.9327 0.0000 5.0977 2.9327 0.0000 0.0000 0.0000 5.2018" Properties=species:S:1:pos:R:3 pbc="T T T"
Mg 3.4261 1.9232 2.6009
Mg 6.7693 1.9232 2.6009
Mg 3.4261 -1.9232 0.0000
Mg 6.7693 -1.9232 0.0000
Ru 5.0977 1.0597 0.0270
Ru 5.0977 -1.0597 2.6279
N 3.5034 1.9005 4.7242
N 6.6919 1.9005 4.7242
N 5.0977 0.7614 1.9459
N 5.0977 -0.7614 4.5468
N 3.5034 -1.9005 2.1234
N 6.6919 -1.9005 2.1234
```

Calculated values
DOS at the Fermi energy = 2.38 states/eV/f.u.
Formation energy (no corrections) = -1.50 eV per formula unit